11
Lattice="3.665 -0.007 -0.813 -0.869 9.559 -3.942 -0.082 -2.293 8.276" Properties=species:S:1:pos:R:3 comment="Ga2Sn5Au4, optimized geometry, DFT PBE" crystal_system=triclinic total_energy_ev_per_atom=-3.697 ef_ev_per_atom=-0.136 pbc="T T T"
Ga 1.363 6.197 -2.397
Ga 1.351 1.061 5.917
Sn 0.158 6.942 0.649
Sn 2.557 0.317 2.871
Sn 0.167 2.585 0.799
Sn 1.833 -0.004 -0.407
Sn 2.548 4.674 2.722
Au 1.904 4.757 -0.131
Au -0.461 8.058 -1.991
Au 0.811 2.502 3.652
Au 3.176 -0.800 5.511